Density functional theory data (GGA+U) for a relaxed MnCrAg2F6 crystal.

Properties
Crystal system: triclinic
Spin magnetization, μB/f.u.: 9.00
Total energy, eV/atom: -5.1493

Structure (POSCAR):
```
MnCrAg2F6
1.0
-4.0216 -0.9085 4.2274
-5.6737 -1.3640 -1.2825
-1.9047 -5.3538 1.0128
Mn Cr Ag F
1 1 2 6
direct
0.8161 0.8162 0.5515 Mn
0.3162 0.3161 0.0515 Cr
0.5786 0.5542 0.3010 Ag
0.0536 0.0782 0.8025 Ag
0.6145 0.1370 0.2391 F
0.1617 0.9391 0.3153 F
0.0106 0.5005 0.3537 F
0.4706 0.6931 0.7874 F
0.6217 0.1318 0.7494 F
0.0179 0.4954 0.8639 F
```